1.
Ce2GaAg GGA-PBE relaxed; DFT total energy = -18.9 eV/cell; M_tot = 0.00 μB per formula unit
1.0
-0.4063 -3.1462 0.3732
3.1205 -0.3323 0.5960
-1.5374 1.2350 8.7381
Ga Ag Ce
1 1 2
direct
0.5000 0.5000 0.0000
0.5000 0.5000 0.5000
0.0000 0.0000 0.7592
0.0000 0.0000 0.2408



2.
Ce5Ga3Ag3 GGA-PBE relaxed; DFT total energy = -46.9 eV/cell; M_tot = 3.26 μB per formula unit
1.0
3.0056 0.0000 0.0000
0.0000 8.5430 -4.9323
0.0000 0.0000 9.8646
Ce Ga Ag
5 3 3
direct
0.5000 0.6667 0.3333
0.5000 0.3333 0.6667
0.5000 0.3515 0.0000
0.5000 0.6485 0.6485
0.5000 0.0000 0.3515
0.5000 0.8499 0.0000
0.5000 0.1501 0.1501
0.5000 0.0000 0.8499
0.0000 0.6319 0.0000
0.0000 0.0000 0.6319
0.0000 0.3681 0.3681



> The lowest M_tot belongs to which entry?

Ce2GaAg



Please write out number 2 again, unchanged.
Ce5Ga3Ag3 GGA-PBE relaxed; DFT total energy = -46.9 eV/cell; M_tot = 3.26 μB per formula unit
1.0
3.0056 0.0000 0.0000
0.0000 8.5430 -4.9323
0.0000 0.0000 9.8646
Ce Ga Ag
5 3 3
direct
0.5000 0.6667 0.3333
0.5000 0.3333 0.6667
0.5000 0.3515 0.0000
0.5000 0.6485 0.6485
0.5000 0.0000 0.3515
0.5000 0.8499 0.0000
0.5000 0.1501 0.1501
0.5000 0.0000 0.8499
0.0000 0.6319 0.0000
0.0000 0.0000 0.6319
0.0000 0.3681 0.3681